No. 1
{
  "formula": "AlInBr2",
  "functional": "PBE",
  "state": "relaxed",
  "lattice_angstrom": [[3.733, 0.000, 0.000], [0.000, 3.733, 0.000], [0.000, 0.000, 9.207]],
  "species": ["Al", "In", "Br", "Br"],
  "frac_coords": [[0.500, 0.500, 0.777], [0.000, 0.000, 0.488], [0.500, 0.500, 0.313], [0.000, 0.000, 0.921]],
  "final_energy_ev_per_atom": -2.797,
  "e_form_raw_ev_per_atom": -0.34,
  "de_polymorph_kj_per_mol_atoms": 13.4
}

***

No. 2
{
  "formula": "SmHoHg",
  "functional": "PBE",
  "state": "relaxed",
  "lattice_angstrom": [[3.794, 0.000, 0.000], [0.000, 5.150, 0.000], [0.000, -2.575, 4.460]],
  "species": ["Hg", "Ho", "Sm"],
  "frac_coords": [[0.267, 0.333, 0.667], [0.100, 0.000, 0.000], [0.633, 0.667, 0.333]],
  "final_energy_ev_per_atom": -3.384,
  "de_polymorph_kj_per_mol_atoms": 11.3,
  "delta_e_f_ev_per_atom": -0.184
}

***

No. 3
{
  "formula": "Pr12Sm6Th",
  "functional": "PBE",
  "state": "relaxed",
  "lattice_angstrom": [[-3.426, 1.450, -8.136], [-4.075, -7.771, 1.746], [-5.427, 5.375, 4.658]],
  "species": ["Pr", "Pr", "Pr", "Pr", "Pr", "Pr", "Pr", "Sm", "Sm", "Sm", "Pr", "Pr", "Pr", "Th", "Pr", "Sm", "Sm", "Sm", "Pr"],
  "frac_coords": [[0.584, 0.584, 0.171], [0.738, 0.000, 0.262], [0.262, 0.000, 0.738], [0.000, 0.738, 0.262], [0.416, 0.829, 0.416], [0.829, 0.416, 0.416], [0.171, 0.584, 0.584], [0.860, 0.597, 0.860], [0.403, 0.140, 0.140], [0.860, 0.860, 0.597], [0.738, 0.262, 0.000], [0.584, 0.171, 0.584], [0.416, 0.416, 0.829], [0.000, 0.000, 0.000], [0.262, 0.738, 0.000], [0.140, 0.140, 0.403], [0.597, 0.860, 0.860], [0.140, 0.403, 0.140], [0.000, 0.262, 0.738]],
  "final_energy_ev_per_atom": -4.778,
  "delta_e_f_ev_per_atom": 0.121
}

***

No. 4
{
  "formula": "Lu6FeSb2",
  "functional": "PBE",
  "state": "relaxed",
  "lattice_angstrom": [[-3.992, -3.054, 6.247], [7.481, 2.718, 0.964], [-1.458, 3.701, 0.878]],
  "species": ["Lu", "Lu", "Lu", "Sb", "Fe", "Lu", "Lu", "Lu", "Sb"],
  "frac_coords": [[0.000, 0.610, 0.500], [0.610, 0.000, 0.500], [0.766, 0.766, 0.000], [0.667, 0.333, 0.000], [0.000, 0.000, 0.500], [0.234, 0.000, 0.000], [0.000, 0.234, 0.000], [0.390, 0.390, 0.500], [0.333, 0.667, 0.000]],
  "final_energy_ev_per_atom": -5.427,
  "e_form_raw_ev_per_atom": -0.56
}

***

No. 5
{
  "formula": "ScMnTlTe3",
  "functional": "PBE",
  "state": "relaxed",
  "lattice_angstrom": [[4.238, 0.000, 0.000], [-2.119, 7.792, 0.000], [0.000, 0.000, 11.195]],
  "species": ["Tl", "Te", "Te", "Mn", "Te", "Te", "Te", "Te", "Mn", "Tl", "Sc", "Sc"],
  "frac_coords": [[0.758, 0.516, 0.750], [0.371, 0.741, 0.549], [0.629, 0.259, 0.451], [0.538, 0.076, 0.250], [0.929, 0.858, 0.250], [0.071, 0.142, 0.750], [0.371, 0.741, 0.951], [0.629, 0.259, 0.049], [0.462, 0.924, 0.750], [0.242, 0.484, 0.250], [0.000, 0.000, 0.000], [0.000, 0.000, 0.500]],
  "final_energy_ev_per_atom": -5.203,
  "e_form_raw_ev_per_atom": -0.65
}

***

No. 6
{
  "formula": "GaSn5Pb",
  "functional": "PBE",
  "state": "relaxed",
  "lattice_angstrom": [[4.706, 0.000, 0.000], [0.000, 4.706, 0.000], [0.000, 0.000, 8.951]],
  "species": ["Sn", "Sn", "Pb", "Sn", "Sn", "Ga", "Sn"],
  "frac_coords": [[0.500, 0.000, 0.287], [0.500, 0.000, 0.713], [0.000, 0.000, 0.000], [0.000, 0.500, 0.287], [0.000, 0.500, 0.713], [0.000, 0.000, 0.500], [0.500, 0.500, 0.000]],
  "final_energy_ev_per_atom": -3.752,
  "delta_e_f_ev_per_atom": 0.069
}

***

No. 7
{
  "formula": "TiZnGa2",
  "functional": "PBE",
  "state": "relaxed",
  "lattice_angstrom": [[3.937, 0.000, 0.000], [1.968, 3.409, 0.000], [1.968, 1.136, 5.376]],
  "species": ["Ga", "Ti", "Zn", "Ga"],
  "frac_coords": [[0.248, 0.248, 0.257], [0.675, 0.675, 0.975], [0.492, 0.492, 0.523], [0.085, 0.085, 0.745]],
  "final_energy_ev_per_atom": -3.811,
  "delta_e_f_ev_per_atom": -0.006
}

***

No. 8
{
  "formula": "Cu2TcMo",
  "functional": "PBE",
  "state": "relaxed",
  "lattice_angstrom": [[4.866, -0.017, -0.034], [2.169, 4.355, 0.034], [-3.502, -2.194, 2.568]],
  "species": ["Cu", "Cu", "Mo", "Tc"],
  "frac_coords": [[0.500, 0.500, 0.000], [0.000, 0.000, 0.000], [0.750, 0.250, 0.500], [0.250, 0.750, 0.500]],
  "final_energy_ev_per_atom": -7.163,
  "de_polymorph_kj_per_mol_atoms": 1.8,
  "delta_e_f_ev_per_atom": 0.184
}

***

No. 9
{
  "formula": "Ag4HgW",
  "functional": "PBE",
  "state": "relaxed",
  "lattice_angstrom": [[0.427, 3.092, 4.453], [-3.393, -0.769, 4.180], [1.845, -2.155, 4.640]],
  "species": ["W", "Ag", "Hg", "Ag", "Ag", "Ag"],
  "frac_coords": [[0.000, 0.000, 0.000], [0.876, 0.375, 0.375], [0.750, 0.750, 0.750], [0.375, 0.375, 0.876], [0.375, 0.375, 0.375], [0.375, 0.876, 0.375]],
  "final_energy_ev_per_atom": -3.328,
  "delta_e_f_ev_per_atom": 0.782
}

***

No. 10
{
  "formula": "VWAu",
  "functional": "PBE",
  "state": "relaxed",
  "lattice_angstrom": [[5.051, 0.000, 0.000], [2.526, 4.172, 0.000], [2.526, 0.000, 4.924]],
  "species": ["W", "W", "Au", "Au", "V", "V"],
  "frac_coords": [[0.750, 0.500, 0.500], [0.250, 0.500, 0.500], [0.165, 0.671, 0.000], [0.835, 0.329, 0.000], [0.640, 0.000, 0.720], [0.360, 0.000, 0.280]],
  "final_energy_ev_per_atom": -7.848,
  "delta_e_f_ev_per_atom": 0.601
}

***

No. 11
{
  "formula": "Na3NiAg3Cl8",
  "functional": "PBE",
  "state": "relaxed",
  "lattice_angstrom": [[7.979, 0.000, 0.000], [-3.990, 6.907, -0.031], [0.000, -4.590, 6.406]],
  "species": ["Cl", "Cl", "Cl", "Ag", "Cl", "Cl", "Na", "Cl", "Ni", "Na", "Ag", "Ag", "Cl", "Cl", "Na"],
  "frac_coords": [[0.782, 0.996, 0.279], [0.251, 0.501, 0.253], [0.218, 0.436, 0.722], [0.000, 0.500, 0.000], [0.749, 0.499, 0.747], [0.786, 0.004, 0.721], [0.000, 0.500, 0.500], [0.782, 0.564, 0.278], [0.000, 0.000, 0.500], [0.500, 0.500, 0.500], [0.000, 0.000, 0.000], [0.500, 0.500, 0.000], [0.218, 0.004, 0.721], [0.214, 0.996, 0.279], [0.500, 0.000, 0.500]],
  "final_energy_ev_per_atom": -3.199,
  "e_form_raw_ev_per_atom": -1.00
}

***

No. 12
{
  "formula": "RuRhNO2",
  "functional": "PBE",
  "state": "relaxed",
  "lattice_angstrom": [[-3.247, -1.260, -1.990], [2.277, -0.815, -3.200], [0.558, -3.458, 1.278]],
  "species": ["N", "Rh", "O", "O", "Ru"],
  "frac_coords": [[0.000, 0.000, 0.500], [0.000, 0.000, 0.000], [0.000, 0.500, 0.000], [0.500, 0.000, 0.000], [0.500, 0.500, 0.500]],
  "final_energy_ev_per_atom": -6.165,
  "e_form_raw_ev_per_atom": 0.81
}

***

No. 13
{
  "formula": "LaZr3P",
  "functional": "PBE",
  "state": "relaxed",
  "lattice_angstrom": [[-3.461, -2.011, -3.080], [1.879, -4.602, 0.894], [-3.162, -0.533, 3.902]],
  "species": ["Zr", "La", "P", "Zr", "Zr"],
  "frac_coords": [[0.000, 0.500, 0.000], [0.500, 0.500, 0.500], [0.000, 0.000, 0.000], [0.500, 0.000, 0.000], [0.000, 0.000, 0.500]],
  "final_energy_ev_per_atom": -7.521,
  "de_polymorph_kj_per_mol_atoms": 0.0,
  "delta_e_f_ev_per_atom": -0.324
}